# La6TbCeEr2

A geometry-optimized La6TbCeEr2 structure (PBE, Alexandria).

Results
ΔH_f (0 K), eV per atom: 0.17
DOS(E_F), states/eV/cell: 41.08

a = 28.8633 Å, b = 6.9643 Å, c = 3.4990 Å
α = 90.00°, β = 96.84°, γ = 90.00°
Space group C2/m (No. 12)
One atom of each set of equivalent atoms:
La1 0.0999 0.2408 0.1089 (multiplicity 8)
La2 0.2068 0.0000 0.6990 (multiplicity 4)
Tb1 0.0000 0.5000 0.5000 (multiplicity 2)
Ce1 0.0000 0.0000 0.0000 (multiplicity 2)
Er1 0.1851 0.5000 0.6972 (multiplicity 4)